(1)
Here is a relaxed structure of Nd2CdAu from Alexandria. Energies are from GGA-PBE.

## Properties
**Crystal system**: trigonal
**DOS(E_F)**: 5.7 states/eV/cell
**Energy above the lowest structure with this stoichiometry**: 180 meV/atom
**Space group**: R-3m, No. 166
**Calculated formation energy**: -0.358 eV per atom

CIF file:
```
data_Nd2CdAu
_cell_length_a 9.002
_cell_length_b 9.002
_cell_length_c 9.002
_cell_angle_alpha 25.87
_cell_angle_beta 25.87
_cell_angle_gamma 25.87
_symmetry_space_group_name_H-M 'P 1'
_symmetry_Int_Tables_number 1
_symmetry_space_group_name_Hall 'P 1'
loop_
_atom_site_label
_atom_site_fract_x
_atom_site_fract_y
_atom_site_fract_z
_atom_site_occupancy
Nd1 0.241 0.241 0.241 1
Nd2 0.759 0.759 0.759 1
Cd1 0.000 0.000 0.000 1
Au1 0.500 0.500 0.500 1
```

(2)
Here is a relaxed structure of NdCd4Au2 from Alexandria. Energies are from GGA-PBE.

## Properties
**Crystal system**: orthorhombic
**DOS(E_F)**: 3.4 states/eV/cell
**Energy above the lowest structure with this stoichiometry**: 5 meV/atom
**Space group**: Cmmm, No. 65
**Calculated formation energy**: -0.352 eV per atom

CIF file:
```
data_NdCd4Au2
_cell_length_a 9.255
_cell_length_b 9.255
_cell_length_c 4.200
_cell_angle_alpha 90.00
_cell_angle_beta 90.00
_cell_angle_gamma 153.26
_symmetry_space_group_name_H-M 'P 1'
_symmetry_Int_Tables_number 1
_symmetry_space_group_name_Hall 'P 1'
loop_
_atom_site_label
_atom_site_fract_x
_atom_site_fract_y
_atom_site_fract_z
_atom_site_occupancy
Nd1 0.000 0.000 0.000 1
Cd1 0.181 0.819 0.500 1
Cd2 0.316 0.684 0.000 1
Cd3 0.684 0.316 0.000 1
Cd4 0.819 0.181 0.500 1
Au1 0.425 0.575 0.500 1
Au2 0.575 0.425 0.500 1
```

(3)
Here is a relaxed structure of NdCdAu from Alexandria. Energies are from GGA-PBE.

## Properties
**Crystal system**: orthorhombic
**DOS(E_F)**: 10.8 states/eV/cell
**Space group**: Pmma, No. 51
**Calculated formation energy**: -0.619 eV per atom

CIF file:
```
data_NdCdAu
_cell_length_a 14.059
_cell_length_b 3.996
_cell_length_c 7.952
_cell_angle_alpha 90.00
_cell_angle_beta 90.00
_cell_angle_gamma 90.00
_symmetry_space_group_name_H-M 'P 1'
_symmetry_Int_Tables_number 1
_symmetry_space_group_name_Hall 'P 1'
loop_
_atom_site_label
_atom_site_fract_x
_atom_site_fract_y
_atom_site_fract_z
_atom_site_occupancy
Nd1 0.049 0.000 0.237 1
Nd2 0.250 0.000 0.837 1
Nd3 0.451 0.000 0.237 1
Nd4 0.549 0.000 0.763 1
Nd5 0.750 0.000 0.163 1
Nd6 0.951 0.000 0.763 1
Cd1 0.112 0.500 0.565 1
Cd2 0.250 0.500 0.187 1
Cd3 0.388 0.500 0.565 1
Cd4 0.612 0.500 0.435 1
Cd5 0.750 0.500 0.813 1
Cd6 0.888 0.500 0.435 1
Au1 0.096 0.500 0.938 1
Au2 0.250 0.000 0.446 1
Au3 0.404 0.500 0.938 1
Au4 0.596 0.500 0.062 1
Au5 0.750 0.000 0.554 1
Au6 0.904 0.500 0.062 1
```

(4)
Here is a relaxed structure of NdCdAu from Alexandria. Energies are from GGA-PBE.

## Properties
**Crystal system**: tetragonal
**DOS(E_F)**: 2.7 states/eV/cell
**Space group**: P4/nmm, No. 129
**Calculated formation energy**: -0.355 eV per atom

CIF file:
```
data_NdCdAu
_cell_length_a 3.824
_cell_length_b 3.824
_cell_length_c 10.367
_cell_angle_alpha 90.00
_cell_angle_beta 90.00
_cell_angle_gamma 90.00
_symmetry_space_group_name_H-M 'P 1'
_symmetry_Int_Tables_number 1
_symmetry_space_group_name_Hall 'P 1'
loop_
_atom_site_label
_atom_site_fract_x
_atom_site_fract_y
_atom_site_fract_z
_atom_site_occupancy
Nd1 0.250 0.250 0.122 1
Nd2 0.750 0.750 0.878 1
Cd1 0.250 0.250 0.432 1
Cd2 0.750 0.750 0.568 1
Au1 0.250 0.250 0.729 1
Au2 0.750 0.750 0.271 1
```

(5)
Here is a relaxed structure of NdCd6Au2 from Alexandria. Energies are from GGA-PBE.

## Properties
**Crystal system**: monoclinic
**DOS(E_F)**: 4.8 states/eV/cell
**Space group**: C2/m, No. 12
**Calculated formation energy**: -0.128 eV per atom

CIF file:
```
data_NdCd6Au2
_cell_length_a 8.712
_cell_length_b 8.712
_cell_length_c 3.178
_cell_angle_alpha 99.95
_cell_angle_beta 99.95
_cell_angle_gamma 60.12
_symmetry_space_group_name_H-M 'P 1'
_symmetry_Int_Tables_number 1
_symmetry_space_group_name_Hall 'P 1'
loop_
_atom_site_label
_atom_site_fract_x
_atom_site_fract_y
_atom_site_fract_z
_atom_site_occupancy
Nd1 0.000 0.000 0.000 1
Cd1 0.003 0.350 0.676 1
Cd2 0.334 0.666 0.500 1
Cd3 0.350 0.003 0.676 1
Cd4 0.650 0.997 0.324 1
Cd5 0.666 0.334 0.500 1
Cd6 0.997 0.650 0.324 1
Au1 0.354 0.354 0.854 1
Au2 0.646 0.646 0.146 1
```

(6)
Here is a relaxed structure of NdCdAu from Alexandria. Energies are from GGA-PBE.

## Properties
**Crystal system**: tetragonal
**DOS(E_F)**: 1.4 states/eV/cell
**Space group**: I4mm, No. 107
**Calculated formation energy**: -0.495 eV per atom

CIF file:
```
data_NdCdAu
_cell_length_a 5.675
_cell_length_b 5.675
_cell_length_c 5.675
_cell_angle_alpha 140.46
_cell_angle_beta 140.46
_cell_angle_gamma 57.16
_symmetry_space_group_name_H-M 'P 1'
_symmetry_Int_Tables_number 1
_symmetry_space_group_name_Hall 'P 1'
loop_
_atom_site_label
_atom_site_fract_x
_atom_site_fract_y
_atom_site_fract_z
_atom_site_occupancy
Nd1 0.000 0.000 0.000 1
Cd1 0.316 0.316 0.000 1
Au1 0.669 0.669 0.000 1
```